CsCdO2 | PBE | optimized geometry

POSCAR file:
```
CsCdO2
1.0
2.017 1.164 7.435
-2.017 1.164 7.435
0.000 -2.329 7.435
Cs Cd O
1 1 2
Cartesian
0.000 0.000 0.000
0.000 0.000 11.153
0.000 0.000 9.199
0.000 0.000 13.107
```

Summary:
Fermi-level density of states ... 5.22 states/eV/cell
E_tot ... -13.88 eV per cell
Uncorrected formation energy ... -52.8 kJ per mole of atoms
Size of the total moment ... 1.00 μB/f.u.
Crystal system ... trigonal